CaAc2La: relaxed, GGA-PBE.

Unit cell a=3.915 b=3.915 c=12.960 alpha=81.31 beta=81.31 gamma=60.00
Fractional positions:
Ca 0.500 0.500 0.499
La 0.667 0.667 0.000
Ac 0.081 0.081 0.758
Ac 0.253 0.253 0.242

Summary:
energy above the lowest structure with this stoichiometry: 0.012 eV per formula unit
space-group type: R3m
energy of formation from the pure elements: 0.02 eV/atom

=====

Ca4AcLa: relaxed, GGA-PBE.

Unit cell a=3.879 b=6.637 c=10.331 alpha=71.74 beta=79.17 gamma=89.99
Fractional positions:
Ac 0.500 0.500 0.000
Ca 0.167 0.499 0.666
Ca 0.334 0.000 0.333
Ca 0.666 0.000 0.667
Ca 0.833 0.501 0.334
La 0.000 0.000 0.000

Summary:
energy above the lowest structure with this stoichiometry: 0.000 eV per formula unit
space-group type: C2/m
energy of formation from the pure elements: 0.04 eV/atom

=====

no.,calculated volume (Å³/atom)
1,42.3
2,41.3